A plane-wave DFT calculation with PBE was carried out for Th5Tl2Fe after structural relaxation.

Calculated values
As for the symmetry: I4mm, No. 107. The value obtained for the formation energy is 93.2 meV per atom. The crystal system is tetragonal. The energy above the most stable polymorph in this dataset is 187.6 meV/atom. The calculation puts the density of states at the Fermi level at 12.78 states/eV/cell.

a = 6.8190 Å, b = 6.8190 Å, c = 6.8190 Å
α = 113.29°, β = 113.29°, γ = 102.08°
With the nearest neighbours (Å) after each atom.
Sites, in units of the cell vectors:
Th  0.0000  0.0000  0.0000  1 Fe 2.67
Th  0.0311  0.0311  0.5039  1 Fe 2.65
Th  0.0311  0.5271  0.0000  1 Fe 2.65
Th  0.5271  0.0311  0.0000  1 Fe 2.65
Th  0.5271  0.5271  0.4961  1 Fe 2.65
Tl  0.0262  0.5262  0.5000  10 Th 3.39-3.76
Tl  0.5262  0.0262  0.5000  10 Th 3.39-3.76
Fe  0.3119  0.3119  0.0000  5 Th 2.65-2.67